Ba4Gd2Cd3S10: relaxed, PBE-GGA.

Structure (CIF):
```
data_Ba4Gd2Cd3S10
_cell_length_a 4.187
_cell_length_b 18.127
_cell_length_c 26.900
_cell_angle_alpha 90.00
_cell_angle_beta 90.00
_cell_angle_gamma 90.00
_symmetry_space_group_name_H-M 'C m c 21'
_symmetry_Int_Tables_number 36
_symmetry_space_group_name_Hall 'C 2c -2'
loop_
_atom_site_label
_atom_site_fract_x
_atom_site_fract_y
_atom_site_fract_z
_atom_site_occupancy
Ba1 0.000 0.076 0.000 1
Ba2 0.000 0.097 0.182 1
Ba3 0.000 0.338 0.954 1
Ba4 0.000 0.339 0.234 1
Gd1 0.000 0.004 0.344 1
Gd2 0.000 0.421 0.097 1
Cd1 0.000 0.281 0.575 1
Cd2 0.000 0.339 0.806 1
Cd3 0.000 0.345 0.388 1
S1 0.000 0.076 0.665 1
S2 0.000 0.091 0.528 1
S3 0.000 0.151 0.833 1
S4 0.000 0.156 0.363 1
S5 0.000 0.268 0.112 1
S6 0.000 0.287 0.721 1
S7 0.000 0.292 0.475 1
S8 0.000 0.426 0.591 1
S9 0.000 0.483 0.777 1
S10 0.000 0.489 0.415 1
```

Results
Total energy ... -4.8466 eV per atom

BaGdCdTe3: relaxed, PBE-GGA.

Structure (CIF):
```
data_BaGdCdTe3
_cell_length_a 4.494
_cell_length_b 15.924
_cell_length_c 11.417
_cell_angle_alpha 90.00
_cell_angle_beta 90.00
_cell_angle_gamma 90.00
_symmetry_space_group_name_H-M 'C m c m'
_symmetry_Int_Tables_number 63
_symmetry_space_group_name_Hall '-C 2c 2'
loop_
_atom_site_label
_atom_site_fract_x
_atom_site_fract_y
_atom_site_fract_z
_atom_site_occupancy
Ba1 0.000 0.233 0.250 1
Gd1 0.000 0.000 0.000 1
Cd1 0.000 0.473 0.750 1
Te1 0.000 0.091 0.750 1
Te2 0.000 0.363 0.549 1
```

Results
Total energy ... -3.9316 eV per atom

BaCdGe: relaxed, PBE-GGA.

Structure (CIF):
```
data_BaCdGe
_cell_length_a 4.7537
_cell_length_b 4.7537
_cell_length_c 9.5876
_cell_angle_alpha 90.00
_cell_angle_beta 90.00
_cell_angle_gamma 120.00
_symmetry_space_group_name_H-M 'P 63/m m c'
_symmetry_Int_Tables_number 194
_symmetry_space_group_name_Hall '-P 6c 2c'
loop_
_atom_site_label
_atom_site_fract_x
_atom_site_fract_y
_atom_site_fract_z
_atom_site_occupancy
Ba1 0.0000 0.0000 0.0000 1
Cd1 0.3333 0.6667 0.2500 1
Ge1 0.3333 0.6667 0.7500 1
```

Results
Total energy ... -2.9605 eV per atom

BaCdGe: relaxed, PBE-GGA.

Structure (CIF):
```
data_BaCdGe
_cell_length_a 5.5198
_cell_length_b 5.5198
_cell_length_c 6.8714
_cell_angle_alpha 90.00
_cell_angle_beta 90.00
_cell_angle_gamma 120.00
_symmetry_space_group_name_H-M 'P 63/m m c'
_symmetry_Int_Tables_number 194
_symmetry_space_group_name_Hall '-P 6c 2c'
loop_
_atom_site_label
_atom_site_fract_x
_atom_site_fract_y
_atom_site_fract_z
_atom_site_occupancy
Ba1 0.3333 0.6667 0.2500 1
Cd1 0.0000 0.0000 0.0000 1
Ge1 0.3333 0.6667 0.7500 1
```

Results
Total energy ... -2.6896 eV per atom